Entry 1:
Density functional theory data (GGA-PBE) for a relaxed structure of AsPd4Pb.

Cell lengths 3.3641, 7.1536, 17.2753 Å; angles 90.00, 90.00, 90.00 degrees
Positions (direct):
As  0.7500  0.2564  0.4478
As  0.2500  0.7436  0.5522
As  0.2500  0.2436  0.9478
As  0.7500  0.7564  0.0522
Pd  0.7500  0.8436  0.6528
Pd  0.2500  0.1564  0.3472
Pd  0.2500  0.6564  0.1528
Pd  0.7500  0.3436  0.8472
Pd  0.7500  0.8941  0.4465
Pd  0.2500  0.1059  0.5535
Pd  0.2500  0.6059  0.9465
Pd  0.7500  0.3941  0.0535
Pd  0.7500  0.9632  0.9343
Pd  0.2500  0.0368  0.0657
Pd  0.2500  0.5368  0.4343
Pd  0.7500  0.4632  0.5657
Pd  0.7500  0.9667  0.2032
Pd  0.2500  0.0333  0.7968
Pd  0.2500  0.5333  0.7032
Pd  0.7500  0.4667  0.2968
Pb  0.7500  0.7165  0.8106
Pb  0.2500  0.2835  0.1894
Pb  0.2500  0.7835  0.3106
Pb  0.7500  0.2165  0.6894

E ... -123.91 eV/cell

=====

Entry 2:
Density functional theory data (GGA-PBE) for a relaxed structure of Er2TmNi.

Cell lengths 6.2538, 6.7648, 9.4423 Å; angles 90.00, 90.00, 90.00 degrees
Positions (direct):
Er  0.1793  0.6799  0.0654
Er  0.3207  0.1799  0.4346
Er  0.8207  0.3201  0.5654
Er  0.6793  0.8201  0.9346
Er  0.8207  0.3201  0.9346
Er  0.6793  0.8201  0.5654
Er  0.1793  0.6799  0.4346
Er  0.3207  0.1799  0.0654
Tm  0.6381  0.5335  0.2500
Tm  0.8619  0.0335  0.2500
Tm  0.3619  0.4665  0.7500
Tm  0.1381  0.9665  0.7500
Ni  0.0498  0.3924  0.2500
Ni  0.4502  0.8924  0.2500
Ni  0.9502  0.6076  0.7500
Ni  0.5498  0.1076  0.7500

E ... -81.84 eV/cell

=====

Entry 3:
Density functional theory data (GGA-PBE) for a relaxed structure of RbFeBr3.

Cell lengths 9.4551, 9.4551, 9.4551 Å; angles 60.00, 60.00, 60.00 degrees
Positions (direct):
Br  0.8067  0.1933  0.1933
Br  0.0567  0.4433  0.4433
Br  0.4433  0.4433  0.0567
Br  0.4433  0.0567  0.0567
Br  0.0567  0.4433  0.0567
Br  0.8067  0.1933  0.8067
Br  0.4433  0.0567  0.4433
Br  0.0567  0.0567  0.4433
Br  0.1933  0.8067  0.1933
Br  0.1933  0.8067  0.8067
Br  0.1933  0.1933  0.8067
Br  0.8067  0.8067  0.1933
Rb  0.6250  0.6250  0.6250
Rb  0.6250  0.1250  0.6250
Rb  0.1250  0.6250  0.6250
Rb  0.6250  0.6250  0.1250
Fe  0.1250  0.1250  0.1250
Fe  0.1250  0.6250  0.1250
Fe  0.6250  0.1250  0.1250
Fe  0.1250  0.1250  0.6250

E ... -70.01 eV/cell

=====

Entry 4:
Density functional theory data (GGA-PBE) for a relaxed structure of TbAlRh.

Cell lengths 4.1517, 7.0086, 12.0025 Å; angles 89.31, 90.00, 90.00 degrees
Positions (direct):
Tb  0.7500  0.5294  0.3748
Tb  0.2500  0.9648  0.7123
Tb  0.7500  0.0352  0.2877
Tb  0.7500  0.6542  0.0815
Tb  0.2500  0.4706  0.6252
Tb  0.2500  0.3458  0.9185
Rh  0.2500  0.7700  0.9111
Rh  0.7500  0.2631  0.7509
Rh  0.7500  0.7685  0.5759
Rh  0.7500  0.2300  0.0889
Rh  0.2500  0.2315  0.4241
Rh  0.2500  0.7369  0.2491
Al  0.2500  0.9960  0.0825
Al  0.2500  0.8605  0.4579
Al  0.7500  0.6396  0.8004
Al  0.7500  0.1395  0.5421
Al  0.2500  0.3604  0.1996
Al  0.7500  0.0040  0.9175

E ... -110.52 eV/cell

=====

Entry 5:
Density functional theory data (GGA-PBE) for a relaxed structure of GdErIrPt.

Cell lengths 4.8949, 4.8949, 4.8949 Å; angles 60.00, 60.00, 60.00 degrees
Positions (direct):
Gd  0.7500  0.7500  0.7500
Ir  0.5000  0.5000  0.5000
Pt  0.0000  0.0000  0.0000
Er  0.2500  0.2500  0.2500

E ... -37.57 eV/cell

=====

Entry 6:
Density functional theory data (GGA-PBE) for a relaxed structure of BaCePb.

Cell lengths 5.4408, 5.4408, 10.0677 Å; angles 74.32, 74.32, 60.00 degrees
Positions (direct):
Ce  0.2968  0.2968  0.1096
Ce  0.7032  0.7032  0.8904
Ba  0.1314  0.1314  0.6057
Ba  0.8686  0.8686  0.3943
Pb  0.4126  0.4126  0.7621
Pb  0.5874  0.5874  0.2379

E ... -23.87 eV/cell

=====

Entry 7:
Density functional theory data (GGA-PBE) for a relaxed structure of PmPr5.

Cell lengths 5.2566, 7.3899, 11.0980 Å; angles 90.00, 90.00, 90.00 degrees
Positions (direct):
Pm  0.7500  0.6242  0.2500
Pm  0.2500  0.3758  0.7500
Pr  0.7500  0.1254  0.2500
Pr  0.2500  0.8746  0.7500
Pr  0.2500  0.8742  0.4160
Pr  0.7500  0.1258  0.9160
Pr  0.7500  0.1258  0.5840
Pr  0.2500  0.8742  0.0840
Pr  0.2500  0.3756  0.4167
Pr  0.7500  0.6244  0.9167
Pr  0.7500  0.6244  0.5833
Pr  0.2500  0.3756  0.0833

E ... -57.16 eV/cell

=====

Entry 8:
Density functional theory data (GGA-PBE) for a relaxed structure of Na2Sn3Pb8.

Cell lengths 7.5826, 8.9135, 7.6423 Å; angles 125.67, 97.61, 90.00 degrees
Positions (direct):
Na  0.2668  0.1911  0.3822
Na  0.7332  0.8089  0.6178
Sn  0.5000  0.0000  0.0000
Sn  0.0000  0.1976  0.0000
Sn  0.0000  0.8024  0.0000
Pb  0.8427  0.5812  0.1625
Pb  0.1573  0.4188  0.8375
Pb  0.8278  0.1824  0.3648
Pb  0.1722  0.8176  0.6352
Pb  0.5863  0.5693  0.7686
Pb  0.5863  0.1993  0.7686
Pb  0.4137  0.8007  0.2314
Pb  0.4137  0.4307  0.2314

E ... -43.66 eV/cell